The following is a GGA-PBE calculation of crystalline LiAlTe3 at its relaxed geometry, from the Alexandria database.

Cell lengths 7.5697, 8.4271, 10.2646 Å; angles 77.54, 90.00, 90.00 degrees
Last column: nearest neighbours and their distance in Å.
Atoms (fractional coordinates):
Te 0.3862 0.6000 0.2460  1 Al 2.67, 1 Te 2.78, 1 Li 2.95
Li 0.2110 0.3724 0.8695  6 Te 2.95-3.26
Te 0.1647 0.6514 0.0249  1 Al 2.66, 1 Te 2.78
Te 0.1138 0.1000 0.7460  1 Al 2.67, 1 Te 2.78, 1 Li 2.95
Te 0.3469 0.1184 0.1194  2 Al 2.63-2.66
Li 0.7110 0.1276 0.6305  6 Te 2.95-3.26
Te 0.6138 0.4000 0.7540  1 Al 2.67, 1 Te 2.78, 1 Li 2.95
Te 0.1531 0.6184 0.6194  2 Al 2.63-2.66
Te 0.6531 0.8816 0.8806  2 Al 2.63-2.66
Li 0.2890 0.8724 0.3695  6 Te 2.95-3.26
Al 0.3227 0.9362 0.9386  4 Te 2.63-2.67
Li 0.7890 0.6276 0.1305  6 Te 2.95-3.26
Te 0.6647 0.8486 0.4751  1 Al 2.66, 1 Te 2.78
Al 0.8227 0.5638 0.5614  4 Te 2.63-2.67
Te 0.8862 0.9000 0.2540  1 Al 2.67, 1 Te 2.78, 1 Li 2.95
Al 0.1773 0.4362 0.4386  4 Te 2.63-2.67
Te 0.8469 0.3816 0.3806  2 Al 2.63-2.66
Te 0.3353 0.1514 0.5249  1 Al 2.66, 1 Te 2.78
Te 0.8353 0.3486 0.9751  1 Al 2.66, 1 Te 2.78
Al 0.6773 0.0638 0.0614  4 Te 2.63-2.67

**SG**: No. 14
**E_tot**: -0.259 Ry per atom
**Raw formation energy**: -0.51 eV/atom